# 1
! GaHg6I3, optimized geometry, DFT GGA-PBE; values from VASP
! energy: -1.050 eV/atom
! space group: R-3
&SYSTEM
  ibrav = 0, nat = 20, ntyp = 3
/
ATOMIC_SPECIES
Ga 69.72 Ga.upf
Hg 200.59 Hg.upf
I 126.90 I.upf
ATOMIC_POSITIONS angstrom
Ga 0.0000 0.0000 0.0000
Ga 3.6356 3.3172 4.0216
Hg -1.5013 5.3393 7.8003
Hg 0.0314 8.6174 2.1052
Hg 1.0501 2.7248 4.6469
Hg 1.2313 -0.7562 8.7523
Hg 3.1262 4.2498 1.5121
Hg 2.9304 5.8378 4.7807
Hg 4.3408 0.7967 3.2624
Hg 4.1450 2.3847 6.5311
Hg 6.0399 7.3907 -0.7092
Hg 6.2211 3.9097 3.3963
Hg 7.2398 -1.9829 5.9380
Hg 8.7724 1.2952 0.2429
I -0.2706 5.2493 2.2697
I 1.7350 -0.7491 5.4045
I 1.8350 4.8384 8.0841
I 5.4362 1.7961 -0.0409
I 5.5362 7.3836 2.6387
I 7.5417 1.3852 5.7735
CELL_PARAMETERS angstrom
9.1258 -1.2853 -0.4933
-0.4460 9.2051 -0.4934
-1.4086 -1.2853 9.0299


# 2
! GaHgI5, optimized geometry, DFT GGA-PBE; values from VASP
! energy: -1.943 eV/atom
! space group: P-1
&SYSTEM
  ibrav = 0, nat = 14, ntyp = 3
/
ATOMIC_SPECIES
Ga 69.72 Ga.upf
Hg 200.59 Hg.upf
I 126.90 I.upf
ATOMIC_POSITIONS angstrom
Ga 5.8339 5.4825 -1.4162
Ga 0.3625 2.3216 6.7371
Hg 3.7310 -0.1020 -1.2415
Hg 3.9107 -0.5620 4.3760
I 4.7156 6.4616 -3.4595
I 1.1556 5.9159 0.6912
I 2.7026 0.6899 1.0536
I 5.3224 6.5513 0.8528
I 0.8740 1.2528 4.4681
I 6.0241 2.9421 -1.3739
I 0.1723 4.8620 6.6948
I 3.4938 7.1142 4.2673
I 5.0409 1.8882 4.6298
I 1.4809 1.3425 8.7804
CELL_PARAMETERS angstrom
7.4620 -0.2039 -2.4830
-1.6250 8.9281 -3.4310
0.3594 -0.9201 11.2349


# 3
! GaHg2I3, optimized geometry, DFT GGA-PBE; values from VASP
! energy: -1.640 eV/atom
! space group: C2/c
&SYSTEM
  ibrav = 0, nat = 12, ntyp = 3
/
ATOMIC_SPECIES
Ga 69.72 Ga.upf
Hg 200.59 Hg.upf
I 126.90 I.upf
ATOMIC_POSITIONS angstrom
Ga -4.5565 6.0816 -2.3402
Ga -7.5632 2.0267 5.6518
Hg -4.9928 -1.1510 1.4719
Hg -10.1504 0.5066 5.0002
Hg -1.7329 0.7704 -4.0925
Hg -6.8905 2.4281 -0.5642
I -9.0095 5.8680 2.6503
I -3.1102 2.2403 0.6613
I -8.6683 -2.8506 4.1588
I -6.9726 2.0670 3.1826
I -4.9107 -0.7899 -2.2749
I -3.2150 4.1277 -3.2511
CELL_PARAMETERS angstrom
-2.1666 5.7547 -4.4965
0.2364 -6.8312 -2.4039
-9.9531 2.3536 7.8081


# 4
! GaHgI2, optimized geometry, DFT GGA-PBE; values from VASP
! ΔE to the lowest computed polymorph: 69 kJ/mol of formula units
! energy: -1.694 eV/atom
! space group: P4/mmm
&SYSTEM
  ibrav = 0, nat = 4, ntyp = 3
/
ATOMIC_SPECIES
I 126.90 I.upf
Hg 200.59 Hg.upf
Ga 69.72 Ga.upf
ATOMIC_POSITIONS angstrom
I 0.0000 0.0000 6.0421
I 0.0000 0.0000 1.9193
Hg 2.0068 2.0068 3.9807
Ga 2.0068 2.0068 0.0000
CELL_PARAMETERS angstrom
4.0136 0.0000 0.0000
0.0000 4.0136 0.0000
0.0000 0.0000 7.9614